CsZn2S2 | PBE | optimized geometry

Its density of states at the Fermi level is 1.5 states/eV/f.u. The calculation puts the energy above the lowest structure with this stoichiometry at 127.4 meV per atom. Its total magnetic moment is 0.00 μB per formula unit. The formation energy from raw total energies is -475 meV/atom. Its raw total energy is -28.07 eV for the cell shown. The value obtained for the calculated volume is 30.21 Å³ per atom. Its density is 3604 kg/m³.

It has space group I4/mmm (No. 139), with a = 4.957 Å, b = 4.957 Å, c = 12.295 Å, α = 90.00°, β = 90.00° and γ = 90.00°. The asymmetric unit holds Cs at (0.000, 0.000, 0.000), Zn at (0.000, 0.000, 0.273) and S at (0.000, 0.500, 0.250).